A plane-wave DFT calculation with PBE was carried out for a relaxed structure of ErTh2ScAs4.

a b c (Å): 7.084 4.149 7.184
angles (deg): 90.00 109.83 90.00
Element x y z (fractional)
1 Er 0.000 0.000 0.000
2 Th 0.500 0.000 0.500
3 Th 0.500 0.500 0.000
4 Sc 0.000 0.500 0.500
5 As 0.231 0.000 0.739
6 As 0.234 0.500 0.250
7 As 0.766 0.500 0.750
8 As 0.769 0.000 0.261

Properties
Volume   198.7 Å³ per cell
Calculated total energy   -6.95 eV/atom
Energy relative to the elements   -1.405 eV per atom
DOS(E_F)   3.75 states/eV/cell
Space group   P2/m (10)